1.
A plane-wave DFT calculation with PBE was carried out for a relaxed structure of Li2PuTcO8.

## Properties
E_form (uncorrected) = -1946 kJ/mol of formula units
Spin magnetization = 1.00 μB per formula unit

Lattice parameters (Å, degrees): 6.3884 6.3884 7.3371 90.00 90.00 90.00
Last column: nearest neighbours and their distance in Å.
Space group I-4m2 (No. 119)
Asymmetric unit:
1 Li 0.0000 0.0000 0.0000  4 O 1.95
2 Li 0.0000 0.5000 0.2500  4 O 2.06
3 Pu 0.0000 0.0000 0.5000  4 O 1.88
4 Tc 0.0000 0.5000 0.7500  4 O 1.80
5 O 0.0000 0.2344 0.8306  1 Tc 1.80, 1 Li 1.95
6 O 0.0000 0.2920 0.4641  1 Pu 1.88, 1 Li 2.06

***

2.
A plane-wave DFT calculation with PBE was carried out for a relaxed structure of Pm2NdTh2.

## Properties
Spin magnetization = 0.00 μB per formula unit
Total DFT energy (no corrections) = -5.793 eV per atom

Lattice parameters (Å, degrees): 3.6133 3.6133 25.8439 90.00 90.00 90.00
Last column: nearest neighbours and their distance in Å.
Space group I4/mmm (No. 139)
Asymmetric unit:
1 Pm 0.0000 0.0000 0.1045  4 Th 3.61, 4 Pm 3.61, 4 Nd 3.72
2 Nd 0.0000 0.0000 0.5000  4 Nd 3.61, 8 Pm 3.72
3 Th 0.0000 0.0000 0.2970  8 Th 3.53-3.61, 4 Pm 3.61

***

3.
A plane-wave DFT calculation with PBE was carried out for a relaxed structure of Sm6Si2SI3.

## Properties
E_form (uncorrected) = -1310 kJ/mol of formula units
Spin magnetization = 0.00 μB per formula unit

Lattice parameters (Å, degrees): 7.3058 12.6528 8.0052 90.00 107.72 90.00
Last column: nearest neighbours and their distance in Å.
Space group C2/m (No. 12)
Asymmetric unit:
1 Sm 0.2293 0.1661 0.1903  1 S 2.83, 2 Si 2.84
2 Sm 0.2318 0.5000 0.1906  1 S 2.83, 2 Si 2.84
3 Si 0.0000 0.3336 0.0000  6 Sm 2.84
4 S 0.0000 0.0000 0.0000  6 Sm 2.83
5 I 0.0000 0.1685 0.5000  6 Sm 3.38-3.40
6 I 0.0000 0.5000 0.5000  6 Sm 3.39-3.40

***

4.
A plane-wave DFT calculation with PBE was carried out for a relaxed structure of La3Zn9Co2.

## Properties
Spin magnetization = 0.01 μB per formula unit
Total DFT energy (no corrections) = -3.133 eV per atom

Lattice parameters (Å, degrees): 4.4284 9.5981 12.3075 90.00 90.00 90.00
Last column: nearest neighbours and their distance in Å.
Space group Immm (No. 71)
Asymmetric unit:
1 La 0.0000 0.0000 0.0000  12 Zn 3.08-3.23
2 La 0.0000 0.0000 0.3052  2 Co 2.87, 4 Zn 3.18
3 Zn 0.0000 0.2837 0.1171  3 Zn 2.53-2.59, 2 Co 2.69
4 Zn 0.0000 0.3498 0.3492  1 Co 2.57, 3 Zn 2.59-2.88
5 Zn 0.0000 0.5000 0.0000  4 Zn 2.53, 4 Co 2.72
6 Co 0.0000 0.1639 0.5000  8 Zn 2.57-2.72, 2 La 2.87